Record 1
First-principles (PBE) data for a relaxed structure of MgTc2HgO8, as listed in Alexandria.

a b c (Å): 6.1434 6.1434 6.1434
angles (deg): 107.41 107.41 113.67
Last column: nearest neighbours and their distance in Å.
Atoms (fractional coordinates):
Tc  0.7500  0.2500  0.5000  4 O 1.77
Tc  0.5000  0.5000  0.0000  4 O 1.79
O  0.3933  0.0759  0.3174  1 Tc 1.77
O  0.8549  0.6561  0.1988  1 Tc 1.79
O  0.3439  0.1451  0.8012  1 Tc 1.79
O  0.9241  0.2415  0.3174  1 Tc 1.77
O  0.7585  0.0759  0.6826  1 Tc 1.77
O  0.3439  0.5427  0.1988  1 Tc 1.79
O  0.4573  0.6561  0.8012  1 Tc 1.79
O  0.9241  0.6067  0.6826  1 Tc 1.77
Mg  0.2500  0.7500  0.5000  4 O 2.28
Hg  0.0000  0.0000  0.0000  4 O 2.36

- formation energy without anion corrections (meV/atom) = -1260
- electronic total energy (eV per formula unit) = -77.4


Record 2
First-principles (PBE) data for a relaxed structure of MgTcHgO6, as listed in Alexandria.

a b c (Å): 5.5498 5.2159 4.7692
angles (deg): 94.95 99.33 57.85
Last column: nearest neighbours and their distance in Å.
Atoms (fractional coordinates):
O  0.6436  0.3539  0.7292  1 Tc 1.94, 1 Mg 2.05
O  0.0025  0.3539  0.2708  1 Tc 1.94, 1 Mg 2.05
O  0.3290  0.6433  0.2980  1 Tc 2.01, 1 Mg 2.02, 1 Hg 2.15
O  0.0277  0.6433  0.7019  1 Tc 2.01, 1 Mg 2.02, 1 Hg 2.15
O  0.5738  0.0318  0.2659  1 Tc 1.79
O  0.3944  0.0318  0.7341  1 Tc 1.79
Hg  0.0074  0.9851  0.0000  4 O 2.15-2.21
Tc  0.3448  0.3103  0.5000  4 O 1.79-1.94
Mg  0.6766  0.6467  0.5000  6 O 2.02-2.14

- formation energy without anion corrections (meV/atom) = -1128
- electronic total energy (eV per formula unit) = -52.2